Material: Li2VAgO
Method: DFT, GGA+U
State: relaxed

total magnetic moment = 0.685 μB per atom
raw total energy = -2.571 eV per atom
theoretical density = 2.336 g/cm³

Cell: 5.202 4.956 5.202 Å, 90.00 90.00 90.00°
Last column: magnetic moment on the atom in μB.
Element x y z (fractional)
Li 0.000 0.000 0.500  0.06
O 0.500 0.500 0.500  -0.81
Li 0.500 0.000 0.000  0.08
V 0.000 0.000 0.000  3.14
Ag 0.000 0.500 0.000  0.03